# 1
Compound: BaTlTcO4
Source: the Alexandria database
Functional: PBE-GGA
Structure: optimized geometry

Unit cell a=7.050 b=6.149 c=8.396 alpha=90.00 beta=114.72 gamma=90.00
Positions (direct):
Ba (0.236, 0.250, 0.119)
Ba (0.764, 0.750, 0.881)
Tl (0.154, 0.250, 0.635)
Tl (0.846, 0.750, 0.365)
Tc (0.260, 0.750, 0.864)
Tc (0.740, 0.250, 0.136)
O (0.073, 0.520, 0.843)
O (0.073, 0.980, 0.843)
O (0.343, 0.750, 0.686)
O (0.482, 0.750, 0.077)
O (0.518, 0.250, 0.923)
O (0.657, 0.250, 0.314)
O (0.927, 0.020, 0.157)
O (0.927, 0.480, 0.157)

size of the total moment = 0.286 μB per atom
space group = No. 11
formation energy without anion corrections = -1091.0 kJ/mol of formula units

---

# 2
Compound: SiTePt2
Source: the Alexandria database
Functional: PBE-GGA
Structure: optimized geometry

Unit cell a=8.035 b=8.035 c=8.035 alpha=144.91 beta=144.91 gamma=50.46
Positions (direct):
Si (0.000, 0.000, 0.000)
Si (0.750, 0.250, 0.500)
Te (0.250, 0.750, 0.500)
Te (0.500, 0.500, 0.000)
Pt (0.059, 0.625, 0.934)
Pt (0.375, 0.309, 0.434)
Pt (0.691, 0.125, 0.066)
Pt (0.875, 0.941, 0.566)

offset from the most stable computed form = 98 meV per atom
size of the total moment = 0.000 μB per atom
space group = No. 122
formation energy without anion corrections = -112.2 kJ/mol of formula units

---

# 3
Compound: CeTe3Pd3
Source: the Alexandria database
Functional: PBE-GGA
Structure: optimized geometry

Unit cell a=7.338 b=7.338 c=7.338 alpha=90.00 beta=90.00 gamma=90.00
Positions (direct):
Ce (0.000, 0.000, 0.000)
Ce (0.500, 0.500, 0.500)
Te (0.000, 0.250, 0.500)
Te (0.000, 0.750, 0.500)
Te (0.250, 0.500, 0.000)
Te (0.500, 0.000, 0.250)
Te (0.500, 0.000, 0.750)
Te (0.750, 0.500, 0.000)
Pd (0.000, 0.500, 0.250)
Pd (0.000, 0.500, 0.750)
Pd (0.250, 0.000, 0.500)
Pd (0.500, 0.250, 0.000)
Pd (0.500, 0.750, 0.000)
Pd (0.750, 0.000, 0.500)

size of the total moment = 0.184 μB per atom
space group = No. 223
formation energy without anion corrections = -216.1 kJ/mol of formula units